Record 1
K12Au5Br3 | Alexandria | PBE | relaxed; formation energy (no corrections) = -0.533 eV/atom; magnetic moment = 0.00 μB per cell
1.0
-9.835 9.835 9.835
9.835 -9.835 9.835
9.835 9.835 -9.835
K Au Br
48 20 12
Direct
0.050 0.224 0.124
0.050 0.326 0.926
0.074 0.624 0.400
0.074 0.950 0.674
0.100 0.724 0.674
0.100 0.876 0.426
0.124 0.050 0.224
0.124 0.574 0.900
0.174 0.224 0.600
0.174 0.450 0.574
0.224 0.124 0.050
0.224 0.600 0.174
0.276 0.326 0.900
0.276 0.450 0.376
0.326 0.900 0.276
0.326 0.926 0.050
0.376 0.276 0.450
0.376 0.600 0.926
0.400 0.074 0.624
0.400 0.826 0.776
0.426 0.100 0.876
0.426 0.826 0.550
0.450 0.376 0.276
0.450 0.574 0.174
0.550 0.426 0.826
0.550 0.624 0.724
0.574 0.174 0.450
0.574 0.900 0.124
0.600 0.174 0.224
0.600 0.926 0.376
0.624 0.400 0.074
0.624 0.724 0.550
0.674 0.074 0.950
0.674 0.100 0.724
0.724 0.550 0.624
0.724 0.674 0.100
0.776 0.400 0.826
0.776 0.876 0.950
0.826 0.550 0.426
0.826 0.776 0.400
0.876 0.426 0.100
0.876 0.950 0.776
0.900 0.124 0.574
0.900 0.276 0.326
0.926 0.050 0.326
0.926 0.376 0.600
0.950 0.674 0.074
0.950 0.776 0.876
0.000 0.000 0.000
0.000 0.000 0.500
0.000 0.500 0.000
0.000 0.500 0.500
0.125 0.750 0.875
0.125 0.875 0.250
0.250 0.125 0.875
0.250 0.625 0.375
0.375 0.250 0.625
0.375 0.625 0.750
0.500 0.000 0.000
0.500 0.000 0.500
0.500 0.500 0.000
0.500 0.500 0.500
0.625 0.375 0.250
0.625 0.750 0.375
0.750 0.375 0.625
0.750 0.875 0.125
0.875 0.125 0.750
0.875 0.250 0.125
0.125 0.250 0.375
0.125 0.375 0.750
0.250 0.375 0.125
0.250 0.875 0.625
0.375 0.125 0.250
0.375 0.750 0.125
0.625 0.250 0.875
0.625 0.875 0.750
0.750 0.125 0.375
0.750 0.625 0.875
0.875 0.625 0.250
0.875 0.750 0.625



Record 2
K2SrBeF | Alexandria | PBE | relaxed; formation energy (no corrections) = -0.276 eV/atom; magnetic moment = 0.00 μB per cell
1.0
7.739 0.000 0.000
0.000 7.739 0.000
0.000 0.000 4.515
K Sr Be F
2 1 1 1
Direct
0.000 0.500 0.000
0.500 0.000 0.000
0.000 0.000 0.000
0.500 0.500 0.500
0.000 0.000 0.500



Record 3
LiAlIn2Te | Alexandria | PBE | relaxed; formation energy (no corrections) = 0.537 eV/atom; magnetic moment = 0.00 μB per cell
1.0
5.938 0.000 0.000
0.000 5.938 0.000
0.000 0.000 5.575
Li Al In Te
1 1 2 1
Direct
0.000 0.000 0.000
0.500 0.500 0.000
0.000 0.500 0.500
0.500 0.000 0.500
0.500 0.500 0.500



Record 4
SrInCuHg | Alexandria | PBE | relaxed; magnetic moment = 0.00 μB per cell; formation energy = -0.18 eV/atom
1.0
0.000 3.667 3.667
3.667 0.000 3.667
3.667 3.667 0.000
Sr In Cu Hg
1 1 1 1
Direct
0.000 0.000 0.000
0.500 0.500 0.500
0.250 0.250 0.250
0.750 0.750 0.750